(1)
Entry from Alexandria via LeMat-Bulk: MnNb4Se8 after structural relaxation (PBE).

- Fermi-level density of states: 0.510 states/eV/atom
- Electronic total energy: -6.7365 eV/atom

abc: 7.139 7.139 7.220
angles: 103.42 106.22 118.86
Each line ends with the local moment (μB).
Positions (direct):
1 Se 0.287 0.962 0.738  0.00
2 Se 0.224 0.549 0.262  0.00
3 Se 0.304 0.479 0.783  -0.01
4 Se 0.764 0.935 0.700  -0.01
5 Mn 0.000 0.500 0.500  3.75
6 Se 0.713 0.038 0.262  0.00
7 Nb 0.800 0.800 0.000  -0.05
8 Nb 0.228 0.776 0.004  -0.10
9 Se 0.696 0.521 0.217  -0.01
10 Nb 0.200 0.200 0.000  -0.05
11 Se 0.236 0.065 0.300  -0.01
12 Se 0.776 0.451 0.738  0.00
13 Nb 0.772 0.224 0.996  -0.10

---

(2)
Entry from Alexandria via LeMat-Bulk: MnNb2Se6 after structural relaxation (PBE).

- Fermi-level density of states: 0.534 states/eV/atom
- Electronic total energy: -6.0757 eV/atom

abc: 6.259 6.433 9.522
angles: 90.00 93.81 90.00
Each line ends with the local moment (μB).
Positions (direct):
1 Nb 0.562 0.855 0.742  0.13
2 Se 0.319 0.840 0.084  -0.03
3 Se 0.175 0.035 0.739  -0.03
4 Nb 0.938 0.355 0.758  0.13
5 Se 0.675 0.465 0.239  -0.03
6 Se 0.170 0.331 0.073  -0.04
7 Se 0.681 0.160 0.916  -0.03
8 Se 0.670 0.169 0.573  -0.04
9 Se 0.819 0.660 0.584  -0.03
10 Se 0.325 0.535 0.761  -0.03
11 Se 0.330 0.831 0.427  -0.04
12 Nb 0.062 0.645 0.242  0.13
13 Se 0.825 0.965 0.261  -0.03
14 Se 0.830 0.669 0.927  -0.04
15 Mn 0.500 0.500 0.000  3.11
16 Mn 0.000 0.000 0.500  3.11
17 Nb 0.438 0.145 0.258  0.13
18 Se 0.181 0.340 0.416  -0.03

---

(3)
Entry from Alexandria via LeMat-Bulk: Mn3NbSe after structural relaxation (PBE).

- Fermi-level density of states: 1.021 states/eV/atom
- Electronic total energy: -7.3562 eV/atom

abc: 4.244 4.244 4.244
angles: 90.00 90.00 90.00
Positions (direct):
1 Mn 0.500 0.000 0.000
2 Se 0.000 0.000 0.000
3 Nb 0.500 0.500 0.500
4 Mn 0.000 0.500 0.000
5 Mn 0.000 0.000 0.500

---

(4)
Entry from Alexandria via LeMat-Bulk: MnNbSe6 after structural relaxation (PBE).

- Fermi-level density of states: 0.503 states/eV/atom
- Electronic total energy: -5.3127 eV/atom

abc: 6.304 6.359 7.347
angles: 55.39 54.42 58.75
Each line ends with the local moment (μB).
Positions (direct):
1 Se 0.973 0.541 0.234  -0.05
2 Se 0.027 0.459 0.766  -0.05
3 Se 0.417 0.816 0.679  -0.04
4 Se 0.686 0.091 0.823  -0.03
5 Mn 0.000 0.000 0.000  3.38
6 Se 0.583 0.184 0.321  -0.04
7 Nb 0.500 0.500 0.500  0.43
8 Se 0.314 0.909 0.177  -0.03

---

(5)
Entry from Alexandria via LeMat-Bulk: Mn2NbSe6 after structural relaxation (PBE).

- Fermi-level density of states: 0.432 states/eV/atom
- Electronic total energy: -6.0593 eV/atom

abc: 3.456 8.800 7.736
angles: 114.28 102.91 90.00
Each line ends with the local moment (μB).
Positions (direct):
1 Se 0.659 0.516 0.319  -0.15
2 Se 0.982 0.208 0.963  -0.02
3 Se 0.691 0.145 0.382  -0.02
4 Nb 0.500 0.000 0.000  -0.30
5 Se 0.309 0.855 0.618  -0.02
6 Se 0.341 0.484 0.681  -0.15
7 Mn 0.160 0.317 0.321  2.60
8 Se 0.018 0.792 0.037  -0.02
9 Mn 0.840 0.683 0.679  2.60

---

(6)
Entry from Alexandria via LeMat-Bulk: MnNb2SiSe after structural relaxation (PBE).

- Fermi-level density of states: 1.080 states/eV/atom
- Electronic total energy: -7.2353 eV/atom

abc: 4.692 4.202 4.692
angles: 90.00 90.00 90.00
Positions (direct):
1 Mn 0.000 0.000 0.000
2 Nb 0.500 0.000 0.000
3 Se 0.500 0.500 0.500
4 Si 0.000 0.500 0.000
5 Nb 0.000 0.000 0.500